No. 1
Computed, not measured: a relaxed K2CdAs2S6 crystal at the GGA-PBE level of DFT.

Output
The raw total energy is -3.86 eV/atom. As for the theoretical density: 2.9 g/cm³. For the calculated volume, the calculation gives 27.389 Å³ per atom. The value obtained for the total magnetic moment is 0.00 μB per cell.

Geometry as CIF:
```
data_K2CdAs2S6
_chemical_formula_sum 'K2 Cd1 As2 S6'
_cell_length_a 7.126
_cell_length_b 7.126
_cell_length_c 7.742
_cell_angle_alpha 112.28
_cell_angle_beta 112.28
_cell_angle_gamma 58.28
_symmetry_space_group_name_H-M 'P 1'
_symmetry_Int_Tables_number 1
loop_
_symmetry_equiv_pos_as_xyz
'x,y,z'
loop_
_atom_site_label
_atom_site_type_symbol
_atom_site_fract_x
_atom_site_fract_y
_atom_site_fract_z
K1 K 0.208 0.208 0.205
K2 K 0.792 0.792 0.795
Cd1 Cd 0.000 0.000 0.500
As1 As 0.471 0.471 0.817
As2 As 0.529 0.529 0.183
S1 S 0.174 0.694 0.205
S2 S 0.282 0.282 0.663
S3 S 0.306 0.826 0.795
S4 S 0.694 0.174 0.205
S5 S 0.718 0.718 0.337
S6 S 0.826 0.306 0.795
```

=====

No. 2
Computed, not measured: a relaxed LaTl5I8 crystal at the GGA-PBE level of DFT.

Output
The raw total energy is -2.97 eV/atom. As for the theoretical density: 6.2 g/cm³. For the calculated volume, the calculation gives 41.311 Å³ per atom. The value obtained for the total magnetic moment is 0.00 μB per cell.

Geometry as CIF:
```
data_LaTl5I8
_chemical_formula_sum 'La1 Tl5 I8'
_cell_length_a 9.091
_cell_length_b 9.091
_cell_length_c 9.091
_cell_angle_alpha 109.76
_cell_angle_beta 109.76
_cell_angle_gamma 108.89
_symmetry_space_group_name_H-M 'P 1'
_symmetry_Int_Tables_number 1
loop_
_symmetry_equiv_pos_as_xyz
'x,y,z'
loop_
_atom_site_label
_atom_site_type_symbol
_atom_site_fract_x
_atom_site_fract_y
_atom_site_fract_z
La1 La 0.000 0.000 0.000
Tl1 Tl 0.254 0.145 0.630
Tl2 Tl 0.376 0.746 0.891
Tl3 Tl 0.515 0.624 0.370
Tl4 Tl 0.750 0.250 0.500
Tl5 Tl 0.855 0.485 0.109
I1 I 0.001 0.772 0.635
I2 I 0.102 0.341 0.894
I3 I 0.137 0.365 0.365
I4 I 0.228 0.863 0.228
I5 I 0.447 0.208 0.106
I6 I 0.635 0.999 0.772
I7 I 0.659 0.553 0.761
I8 I 0.792 0.898 0.239
```

=====

No. 3
Computed, not measured: a relaxed Li2TaTe crystal at the GGA-PBE level of DFT.

Output
The raw total energy is -4.56 eV/atom. As for the theoretical density: 7.7 g/cm³. For the calculated volume, the calculation gives 17.321 Å³ per atom. The value obtained for the total magnetic moment is 0.00 μB per cell.

Geometry as CIF:
```
data_Li2TaTe
_chemical_formula_sum 'Li2 Ta1 Te1'
_cell_length_a 4.073
_cell_length_b 4.073
_cell_length_c 4.176
_cell_angle_alpha 90.00
_cell_angle_beta 90.00
_cell_angle_gamma 90.00
_symmetry_space_group_name_H-M 'P 1'
_symmetry_Int_Tables_number 1
loop_
_symmetry_equiv_pos_as_xyz
'x,y,z'
loop_
_atom_site_label
_atom_site_type_symbol
_atom_site_fract_x
_atom_site_fract_y
_atom_site_fract_z
Li1 Li 0.000 0.500 0.000
Li2 Li 0.500 0.000 0.000
Ta1 Ta 0.000 0.000 0.500
Te1 Te 0.500 0.500 0.500
```

=====

No. 4
Computed, not measured: a relaxed SrTeF2 crystal at the GGA-PBE level of DFT.

Output
Its relative energy among the computed polymorphs is 1.25 eV/f.u. The raw total energy is -4.36 eV/atom. As for the theoretical density: 4.3 g/cm³. For the calculated volume, the calculation gives 24.574 Å³ per atom. The value obtained for the total magnetic moment is 0.00 μB per cell.

Geometry as CIF:
```
data_SrTeF2
_chemical_formula_sum 'Sr4 Te4 F8'
_cell_length_a 7.196
_cell_length_b 7.196
_cell_length_c 7.594
_cell_angle_alpha 90.00
_cell_angle_beta 90.00
_cell_angle_gamma 90.00
_symmetry_space_group_name_H-M 'P 1'
_symmetry_Int_Tables_number 1
loop_
_symmetry_equiv_pos_as_xyz
'x,y,z'
loop_
_atom_site_label
_atom_site_type_symbol
_atom_site_fract_x
_atom_site_fract_y
_atom_site_fract_z
Sr1 Sr 0.000 0.000 0.000
Sr2 Sr 0.000 0.500 0.250
Sr3 Sr 0.500 0.000 0.750
Sr4 Sr 0.500 0.500 0.500
Te1 Te 0.000 0.000 0.500
Te2 Te 0.000 0.500 0.750
Te3 Te 0.500 0.000 0.250
Te4 Te 0.500 0.500 0.000
F1 F 0.155 0.750 0.125
F2 F 0.250 0.155 0.875
F3 F 0.250 0.345 0.375
F4 F 0.345 0.750 0.625
F5 F 0.655 0.250 0.625
F6 F 0.750 0.655 0.375
F7 F 0.750 0.845 0.875
F8 F 0.845 0.250 0.125
```

=====

No. 5
Computed, not measured: a relaxed K2PaO3F3 crystal at the GGA-PBE level of DFT.

Output
The raw total energy is -6.16 eV/atom. As for the theoretical density: 4.8 g/cm³. For the calculated volume, the calculation gives 15.848 Å³ per atom. The value obtained for the total magnetic moment is 2.00 μB per cell.

Geometry as CIF:
```
data_K2PaO3F3
_chemical_formula_sum 'K2 Pa1 O3 F3'
_cell_length_a 6.716
_cell_length_b 6.716
_cell_length_c 3.652
_cell_angle_alpha 90.00
_cell_angle_beta 90.00
_cell_angle_gamma 120.00
_symmetry_space_group_name_H-M 'P 1'
_symmetry_Int_Tables_number 1
loop_
_symmetry_equiv_pos_as_xyz
'x,y,z'
loop_
_atom_site_label
_atom_site_type_symbol
_atom_site_fract_x
_atom_site_fract_y
_atom_site_fract_z
K1 K 0.333 0.667 0.000
K2 K 0.667 0.333 0.000
Pa1 Pa 0.000 0.000 0.500
O1 O 0.000 0.211 0.000
O2 O 0.211 0.000 0.000
O3 O 0.789 0.789 0.000
F1 F 0.000 0.656 0.500
F2 F 0.344 0.344 0.500
F3 F 0.656 0.000 0.500
```

=====

No. 6
Computed, not measured: a relaxed Pr4DyY3Se8 crystal at the GGA-PBE level of DFT.

Output
The raw total energy is -6.24 eV/atom. As for the theoretical density: 6.5 g/cm³. For the calculated volume, the calculation gives 25.750 Å³ per atom. The value obtained for the total magnetic moment is 0.00 μB per cell.

Geometry as CIF:
```
data_Pr4DyY3Se8
_chemical_formula_sum 'Pr4 Dy1 Y3 Se8'
_cell_length_a 8.454
_cell_length_b 8.454
_cell_length_c 8.454
_cell_angle_alpha 58.45
_cell_angle_beta 58.45
_cell_angle_gamma 58.45
_symmetry_space_group_name_H-M 'P 1'
_symmetry_Int_Tables_number 1
loop_
_symmetry_equiv_pos_as_xyz
'x,y,z'
loop_
_atom_site_label
_atom_site_type_symbol
_atom_site_fract_x
_atom_site_fract_y
_atom_site_fract_z
Pr1 Pr 0.000 0.000 0.000
Pr2 Pr 0.000 0.500 0.500
Pr3 Pr 0.500 0.000 0.500
Pr4 Pr 0.500 0.500 0.000
Dy1 Dy 0.500 0.500 0.500
Y1 Y 0.000 0.000 0.500
Y2 Y 0.000 0.500 0.000
Y3 Y 0.500 0.000 0.000
Se1 Se 0.244 0.244 0.244
Se2 Se 0.245 0.744 0.744
Se3 Se 0.256 0.256 0.755
Se4 Se 0.256 0.755 0.256
Se5 Se 0.744 0.245 0.744
Se6 Se 0.744 0.744 0.245
Se7 Se 0.755 0.256 0.256
Se8 Se 0.756 0.756 0.756
```

=====

Copy entry 2 word for word.
Computed, not measured: a relaxed LaTl5I8 crystal at the GGA-PBE level of DFT.

Output
The raw total energy is -2.97 eV/atom. As for the theoretical density: 6.2 g/cm³. For the calculated volume, the calculation gives 41.311 Å³ per atom. The value obtained for the total magnetic moment is 0.00 μB per cell.

Geometry as CIF:
```
data_LaTl5I8
_chemical_formula_sum 'La1 Tl5 I8'
_cell_length_a 9.091
_cell_length_b 9.091
_cell_length_c 9.091
_cell_angle_alpha 109.76
_cell_angle_beta 109.76
_cell_angle_gamma 108.89
_symmetry_space_group_name_H-M 'P 1'
_symmetry_Int_Tables_number 1
loop_
_symmetry_equiv_pos_as_xyz
'x,y,z'
loop_
_atom_site_label
_atom_site_type_symbol
_atom_site_fract_x
_atom_site_fract_y
_atom_site_fract_z
La1 La 0.000 0.000 0.000
Tl1 Tl 0.254 0.145 0.630
Tl2 Tl 0.376 0.746 0.891
Tl3 Tl 0.515 0.624 0.370
Tl4 Tl 0.750 0.250 0.500
Tl5 Tl 0.855 0.485 0.109
I1 I 0.001 0.772 0.635
I2 I 0.102 0.341 0.894
I3 I 0.137 0.365 0.365
I4 I 0.228 0.863 0.228
I5 I 0.447 0.208 0.106
I6 I 0.635 0.999 0.772
I7 I 0.659 0.553 0.761
I8 I 0.792 0.898 0.239
```

=====

What is the total magnetic moment in the first record?
0.00 μB per cell

=====

Repeat the second record exactly.
Computed, not measured: a relaxed LaTl5I8 crystal at the GGA-PBE level of DFT.

Output
The raw total energy is -2.97 eV/atom. As for the theoretical density: 6.2 g/cm³. For the calculated volume, the calculation gives 41.311 Å³ per atom. The value obtained for the total magnetic moment is 0.00 μB per cell.

Geometry as CIF:
```
data_LaTl5I8
_chemical_formula_sum 'La1 Tl5 I8'
_cell_length_a 9.091
_cell_length_b 9.091
_cell_length_c 9.091
_cell_angle_alpha 109.76
_cell_angle_beta 109.76
_cell_angle_gamma 108.89
_symmetry_space_group_name_H-M 'P 1'
_symmetry_Int_Tables_number 1
loop_
_symmetry_equiv_pos_as_xyz
'x,y,z'
loop_
_atom_site_label
_atom_site_type_symbol
_atom_site_fract_x
_atom_site_fract_y
_atom_site_fract_z
La1 La 0.000 0.000 0.000
Tl1 Tl 0.254 0.145 0.630
Tl2 Tl 0.376 0.746 0.891
Tl3 Tl 0.515 0.624 0.370
Tl4 Tl 0.750 0.250 0.500
Tl5 Tl 0.855 0.485 0.109
I1 I 0.001 0.772 0.635
I2 I 0.102 0.341 0.894
I3 I 0.137 0.365 0.365
I4 I 0.228 0.863 0.228
I5 I 0.447 0.208 0.106
I6 I 0.635 0.999 0.772
I7 I 0.659 0.553 0.761
I8 I 0.792 0.898 0.239
```

=====

What did the sixth record say?
Computed, not measured: a relaxed Pr4DyY3Se8 crystal at the GGA-PBE level of DFT.

Output
The raw total energy is -6.24 eV/atom. As for the theoretical density: 6.5 g/cm³. For the calculated volume, the calculation gives 25.750 Å³ per atom. The value obtained for the total magnetic moment is 0.00 μB per cell.

Geometry as CIF:
```
data_Pr4DyY3Se8
_chemical_formula_sum 'Pr4 Dy1 Y3 Se8'
_cell_length_a 8.454
_cell_length_b 8.454
_cell_length_c 8.454
_cell_angle_alpha 58.45
_cell_angle_beta 58.45
_cell_angle_gamma 58.45
_symmetry_space_group_name_H-M 'P 1'
_symmetry_Int_Tables_number 1
loop_
_symmetry_equiv_pos_as_xyz
'x,y,z'
loop_
_atom_site_label
_atom_site_type_symbol
_atom_site_fract_x
_atom_site_fract_y
_atom_site_fract_z
Pr1 Pr 0.000 0.000 0.000
Pr2 Pr 0.000 0.500 0.500
Pr3 Pr 0.500 0.000 0.500
Pr4 Pr 0.500 0.500 0.000
Dy1 Dy 0.500 0.500 0.500
Y1 Y 0.000 0.000 0.500
Y2 Y 0.000 0.500 0.000
Y3 Y 0.500 0.000 0.000
Se1 Se 0.244 0.244 0.244
Se2 Se 0.245 0.744 0.744
Se3 Se 0.256 0.256 0.755
Se4 Se 0.256 0.755 0.256
Se5 Se 0.744 0.245 0.744
Se6 Se 0.744 0.744 0.245
Se7 Se 0.755 0.256 0.256
Se8 Se 0.756 0.756 0.756
```